4
Lattice="-0.7321 0.3358 2.7783 2.7474 -0.5556 -0.7148 1.6327 8.9049 -0.6460" Properties=species:S:1:pos:R:3 comment="ZnAg | Alexandria | PBE | relaxed" ef_kj_per_mol_atoms=-2 total_energy_ev_per_atom=-2.084 sg="P-3m1, No. 164" pbc="T T T"
Zn 0.8253 4.5014 -0.3266
Zn 2.8031 6.3712 -0.0314
Ag 1.6173 8.8211 -0.6399
Ag 2.0111 2.0515 0.2820